No. 1
PrDyPuSn after structural relaxation. Source: Alexandria, functional PBE.

a = 5.4542 Å, b = 5.4542 Å, c = 5.4542 Å
α = 60.00°, β = 60.00°, γ = 60.00°
Last column: nearest neighbours and their distance in Å.
Sites, in units of the cell vectors:
Pr 0.0000 0.0000 0.0000  4 Sn 3.34, 4 Pu 3.34
Dy 0.5000 0.5000 0.5000  4 Sn 3.34, 4 Pu 3.34
Pu 0.7500 0.7500 0.7500  4 Dy 3.34, 4 Pr 3.34
Sn 0.2500 0.2500 0.2500  4 Dy 3.34, 4 Pr 3.34

Summary:
**Total magnetization**: 6.62 μB per formula unit
**Formation enthalpy at 0 K**: -0.163 eV/atom
**V**: 28.7 Å³/atom

---

No. 2
Tb6Pr2Dy3Pu after structural relaxation. Source: Alexandria, functional PBE.

a = 6.1902 Å, b = 6.1902 Å, c = 11.8034 Å
α = 95.04°, β = 95.04°, γ = 120.06°
Last column: nearest neighbours and their distance in Å.
Sites, in units of the cell vectors:
Tb 0.0838 0.4127 0.7515  6 Tb 3.53-3.60, 3 Dy 3.54-3.56, 1 Pu 3.56, 2 Pr 3.59
Tb 0.2452 0.2452 0.2483  6 Tb 3.53-3.60, 3 Dy 3.54-3.56, 1 Pu 3.57, 2 Pr 3.58
Tb 0.4127 0.0838 0.7515  6 Tb 3.53-3.60, 3 Dy 3.54-3.56, 1 Pu 3.56, 2 Pr 3.59
Tb 0.5873 0.9162 0.2485  6 Tb 3.53-3.60, 3 Dy 3.54-3.56, 1 Pu 3.56, 2 Pr 3.59
Tb 0.7548 0.7548 0.7517  6 Tb 3.53-3.60, 3 Dy 3.54-3.56, 1 Pu 3.57, 2 Pr 3.58
Tb 0.9162 0.5873 0.2485  6 Tb 3.53-3.60, 3 Dy 3.54-3.56, 1 Pu 3.56, 2 Pr 3.59
Pr 0.3335 0.6665 0.5000  3 Pu 3.57-3.58, 3 Pr 3.57, 6 Tb 3.58-3.59
Pr 0.6665 0.3335 0.5000  3 Pu 3.57-3.58, 3 Pr 3.57, 6 Tb 3.58-3.59
Dy 0.1666 0.8334 0.0000  6 Tb 3.54-3.56, 6 Dy 3.57-3.58
Dy 0.5000 0.5000 0.0000  6 Tb 3.54-3.56, 6 Dy 3.57-3.58
Dy 0.8334 0.1666 0.0000  6 Tb 3.54-3.56, 6 Dy 3.57-3.58
Pu 0.0000 0.0000 0.5000  6 Tb 3.56-3.57, 6 Pr 3.57-3.58

Summary:
**Total magnetization**: 6.31 μB per formula unit
**Formation enthalpy at 0 K**: 0.050 eV/atom
**V**: 32.1 Å³/atom

---

No. 3
Tb3Pr2Dy6Pu after structural relaxation. Source: Alexandria, functional PBE.

a = 6.1830 Å, b = 6.1830 Å, c = 11.7671 Å
α = 95.04°, β = 95.04°, γ = 120.05°
Last column: nearest neighbours and their distance in Å.
Sites, in units of the cell vectors:
Tb 0.0000 0.0000 0.0000  6 Dy 3.54-3.56, 6 Tb 3.57
Tb 0.3332 0.6668 0.0000  6 Dy 3.54-3.56, 6 Tb 3.57
Tb 0.6668 0.3332 0.0000  6 Dy 3.54-3.56, 6 Tb 3.57
Pr 0.1666 0.8334 0.5000  3 Pu 3.57, 3 Pr 3.57, 6 Dy 3.57
Pr 0.8334 0.1666 0.5000  3 Pu 3.57, 3 Pr 3.57, 6 Dy 3.57
Dy 0.0878 0.4166 0.2491  6 Dy 3.52-3.60, 3 Tb 3.54-3.56, 1 Pu 3.55, 2 Pr 3.57
Dy 0.2546 0.2546 0.7510  6 Dy 3.52-3.60, 3 Tb 3.54-3.56, 1 Pu 3.55, 2 Pr 3.57
Dy 0.4166 0.0878 0.2491  6 Dy 3.52-3.60, 3 Tb 3.54-3.56, 1 Pu 3.55, 2 Pr 3.57
Dy 0.5834 0.9122 0.7509  6 Dy 3.52-3.60, 3 Tb 3.54-3.56, 1 Pu 3.55, 2 Pr 3.57
Dy 0.7454 0.7454 0.2490  6 Dy 3.52-3.60, 3 Tb 3.54-3.56, 1 Pu 3.55, 2 Pr 3.57
Dy 0.9122 0.5834 0.7509  6 Dy 3.52-3.60, 3 Tb 3.54-3.56, 1 Pu 3.55, 2 Pr 3.57
Pu 0.5000 0.5000 0.5000  6 Dy 3.55, 6 Pr 3.57

Summary:
**Total magnetization**: 6.33 μB per formula unit
**Formation enthalpy at 0 K**: 0.049 eV/atom
**V**: 31.9 Å³/atom

---

- Look up the V of the second one.
  32.1 Å³/atom